Record 1
# K2HoPa2Se6 (GGA-PBE, optimized geometry)
data_K2HoPa2Se6
_symmetry_space_group_name_H-M 'P 1'
_symmetry_Int_Tables_number 1
_cell_length_a 7.170
_cell_length_b 7.170
_cell_length_c 8.276
_cell_angle_alpha 98.19
_cell_angle_beta 98.19
_cell_angle_gamma 119.64
loop_
_symmetry_equiv_pos_as_xyz
'x,y,z'
loop_
_atom_site_label
_atom_site_fract_x
_atom_site_fract_y
_atom_site_fract_z
_atom_site_occupancy
K1 0.167 0.833 0.000 1
K2 0.833 0.167 0.000 1
Ho1 0.000 0.000 0.500 1
Pa1 0.336 0.664 0.500 1
Pa2 0.664 0.336 0.500 1
Se1 0.066 0.400 0.702 1
Se2 0.262 0.262 0.294 1
Se3 0.400 0.066 0.702 1
Se4 0.600 0.934 0.298 1
Se5 0.738 0.738 0.706 1
Se6 0.934 0.600 0.298 1
# VASP energy: -5.7376 eV/atom
# Crystal system: monoclinic
# Energy relative to the elements, uncorrected: -144 kJ/mol of atoms

=====

Record 2
# K3Ho3PaSe8 (GGA-PBE, optimized geometry)
data_K3Ho3PaSe8
_symmetry_space_group_name_H-M 'P 1'
_symmetry_Int_Tables_number 1
_cell_length_a 9.167
_cell_length_b 9.167
_cell_length_c 9.167
_cell_angle_alpha 54.25
_cell_angle_beta 54.25
_cell_angle_gamma 54.25
loop_
_symmetry_equiv_pos_as_xyz
'x,y,z'
loop_
_atom_site_label
_atom_site_fract_x
_atom_site_fract_y
_atom_site_fract_z
_atom_site_occupancy
K1 0.000 0.500 0.500 1
K2 0.500 0.000 0.500 1
K3 0.500 0.500 0.000 1
Ho1 0.000 0.000 0.500 1
Ho2 0.000 0.500 0.000 1
Ho3 0.500 0.000 0.000 1
Pa1 0.500 0.500 0.500 1
Se1 0.233 0.734 0.734 1
Se2 0.234 0.234 0.234 1
Se3 0.266 0.266 0.767 1
Se4 0.266 0.767 0.266 1
Se5 0.734 0.233 0.734 1
Se6 0.734 0.734 0.233 1
Se7 0.766 0.766 0.766 1
Se8 0.767 0.266 0.266 1
# VASP energy: -5.3111 eV/atom
# Crystal system: trigonal
# Energy relative to the elements, uncorrected: -163 kJ/mol of atoms

=====

Record 3
# K4Ho3PaSe8 (GGA-PBE, optimized geometry)
data_K4Ho3PaSe8
_symmetry_space_group_name_H-M 'P 1'
_symmetry_Int_Tables_number 1
_cell_length_a 9.104
_cell_length_b 9.104
_cell_length_c 9.104
_cell_angle_alpha 54.96
_cell_angle_beta 54.96
_cell_angle_gamma 54.96
loop_
_symmetry_equiv_pos_as_xyz
'x,y,z'
loop_
_atom_site_label
_atom_site_fract_x
_atom_site_fract_y
_atom_site_fract_z
_atom_site_occupancy
K1 0.000 0.000 0.000 1
K2 0.000 0.500 0.500 1
K3 0.500 0.000 0.500 1
K4 0.500 0.500 0.000 1
Ho1 0.000 0.000 0.500 1
Ho2 0.000 0.500 0.000 1
Ho3 0.500 0.000 0.000 1
Pa1 0.500 0.500 0.500 1
Se1 0.234 0.737 0.737 1
Se2 0.235 0.235 0.235 1
Se3 0.263 0.263 0.766 1
Se4 0.263 0.766 0.263 1
Se5 0.737 0.234 0.737 1
Se6 0.737 0.737 0.234 1
Se7 0.765 0.765 0.765 1
Se8 0.766 0.263 0.263 1
# VASP energy: -5.0977 eV/atom
# Crystal system: trigonal
# Energy relative to the elements, uncorrected: -157 kJ/mol of atoms

=====

Record 4
# KHoPaSe4 (GGA-PBE, optimized geometry)
data_KHoPaSe4
_symmetry_space_group_name_H-M 'P 1'
_symmetry_Int_Tables_number 1
_cell_length_a 8.727
_cell_length_b 8.727
_cell_length_c 8.727
_cell_angle_alpha 120.11
_cell_angle_beta 118.64
_cell_angle_gamma 91.09
loop_
_symmetry_equiv_pos_as_xyz
'x,y,z'
loop_
_atom_site_label
_atom_site_fract_x
_atom_site_fract_y
_atom_site_fract_z
_atom_site_occupancy
K1 0.382 0.132 0.250 1
K2 0.618 0.868 0.750 1
Ho1 0.000 0.000 0.500 1
Ho2 0.000 0.500 0.000 1
Pa1 0.000 0.500 0.500 1
Pa2 0.500 0.500 0.000 1
Se1 0.194 0.733 0.461 1
Se2 0.228 0.267 0.961 1
Se3 0.236 0.273 0.537 1
Se4 0.236 0.698 0.963 1
Se5 0.764 0.302 0.037 1
Se6 0.764 0.727 0.463 1
Se7 0.772 0.733 0.039 1
Se8 0.806 0.267 0.539 1
# VASP energy: -5.6757 eV/atom
# Crystal system: orthorhombic
# Energy relative to the elements, uncorrected: -146 kJ/mol of atoms

=====

Record 5
# K4HoPa3Te8 (GGA-PBE, optimized geometry)
data_K4HoPa3Te8
_symmetry_space_group_name_H-M 'P 1'
_symmetry_Int_Tables_number 1
_cell_length_a 9.867
_cell_length_b 9.867
_cell_length_c 9.867
_cell_angle_alpha 53.24
_cell_angle_beta 53.24
_cell_angle_gamma 53.24
loop_
_symmetry_equiv_pos_as_xyz
'x,y,z'
loop_
_atom_site_label
_atom_site_fract_x
_atom_site_fract_y
_atom_site_fract_z
_atom_site_occupancy
K1 0.000 0.000 0.000 1
K2 0.000 0.500 0.500 1
K3 0.500 0.000 0.500 1
K4 0.500 0.500 0.000 1
Ho1 0.500 0.500 0.500 1
Pa1 0.000 0.000 0.500 1
Pa2 0.000 0.500 0.000 1
Pa3 0.500 0.000 0.000 1
Te1 0.239 0.239 0.239 1
Te2 0.241 0.736 0.736 1
Te3 0.264 0.264 0.759 1
Te4 0.264 0.759 0.264 1
Te5 0.736 0.241 0.736 1
Te6 0.736 0.736 0.241 1
Te7 0.759 0.264 0.264 1
Te8 0.761 0.761 0.761 1
# VASP energy: -4.9401 eV/atom
# Crystal system: trigonal
# Energy relative to the elements, uncorrected: -99 kJ/mol of atoms

=====

Record 6
# K4Ho3PaTe8 (GGA-PBE, optimized geometry)
data_K4Ho3PaTe8
_symmetry_space_group_name_H-M 'P 1'
_symmetry_Int_Tables_number 1
_cell_length_a 9.762
_cell_length_b 9.762
_cell_length_c 9.762
_cell_angle_alpha 54.52
_cell_angle_beta 54.52
_cell_angle_gamma 54.52
loop_
_symmetry_equiv_pos_as_xyz
'x,y,z'
loop_
_atom_site_label
_atom_site_fract_x
_atom_site_fract_y
_atom_site_fract_z
_atom_site_occupancy
K1 0.000 0.000 0.000 1
K2 0.000 0.500 0.500 1
K3 0.500 0.000 0.500 1
K4 0.500 0.500 0.000 1
Ho1 0.000 0.000 0.500 1
Ho2 0.000 0.500 0.000 1
Ho3 0.500 0.000 0.000 1
Pa1 0.500 0.500 0.500 1
Te1 0.234 0.738 0.738 1
Te2 0.236 0.236 0.236 1
Te3 0.262 0.262 0.766 1
Te4 0.262 0.766 0.262 1
Te5 0.738 0.234 0.738 1
Te6 0.738 0.738 0.234 1
Te7 0.764 0.764 0.764 1
Te8 0.766 0.262 0.262 1
# VASP energy: -4.5525 eV/atom
# Crystal system: trigonal
# Energy relative to the elements, uncorrected: -121 kJ/mol of atoms

=====

Record 7
# K2HoPaTe4 (GGA-PBE, optimized geometry)
data_K2HoPaTe4
_symmetry_space_group_name_H-M 'P 1'
_symmetry_Int_Tables_number 1
_cell_length_a 7.752
_cell_length_b 4.424
_cell_length_c 8.725
_cell_angle_alpha 90.00
_cell_angle_beta 106.86
_cell_angle_gamma 90.00
loop_
_symmetry_equiv_pos_as_xyz
'x,y,z'
loop_
_atom_site_label
_atom_site_fract_x
_atom_site_fract_y
_atom_site_fract_z
_atom_site_occupancy
K1 0.000 0.000 0.000 1
K2 0.500 0.500 0.000 1
Ho1 0.000 0.500 0.500 1
Pa1 0.500 0.000 0.500 1
Te1 0.234 0.000 0.710 1
Te2 0.258 0.500 0.286 1
Te3 0.742 0.500 0.714 1
Te4 0.766 0.000 0.290 1
# VASP energy: -4.7410 eV/atom
# Crystal system: monoclinic
# Energy relative to the elements, uncorrected: -110 kJ/mol of atoms

=====

Record 8
# K2Ho2PaTe6 (GGA-PBE, optimized geometry)
data_K2Ho2PaTe6
_symmetry_space_group_name_H-M 'P 1'
_symmetry_Int_Tables_number 1
_cell_length_a 7.663
_cell_length_b 7.663
_cell_length_c 8.833
_cell_angle_alpha 98.37
_cell_angle_beta 98.37
_cell_angle_gamma 119.96
loop_
_symmetry_equiv_pos_as_xyz
'x,y,z'
loop_
_atom_site_label
_atom_site_fract_x
_atom_site_fract_y
_atom_site_fract_z
_atom_site_occupancy
K1 0.166 0.834 0.000 1
K2 0.834 0.166 0.000 1
Ho1 0.333 0.667 0.500 1
Ho2 0.667 0.333 0.500 1
Pa1 0.000 0.000 0.500 1
Te1 0.071 0.403 0.707 1
Te2 0.266 0.266 0.294 1
Te3 0.403 0.071 0.707 1
Te4 0.597 0.929 0.293 1
Te5 0.734 0.734 0.706 1
Te6 0.929 0.597 0.293 1
# VASP energy: -4.8431 eV/atom
# Crystal system: monoclinic
# Energy relative to the elements, uncorrected: -119 kJ/mol of atoms

=====

Record 9
# K2HoPa2Te6 (GGA-PBE, optimized geometry)
data_K2HoPa2Te6
_symmetry_space_group_name_H-M 'P 1'
_symmetry_Int_Tables_number 1
_cell_length_a 7.600
_cell_length_b 7.600
_cell_length_c 8.920
_cell_angle_alpha 98.18
_cell_angle_beta 98.18
_cell_angle_gamma 120.00
loop_
_symmetry_equiv_pos_as_xyz
'x,y,z'
loop_
_atom_site_label
_atom_site_fract_x
_atom_site_fract_y
_atom_site_fract_z
_atom_site_occupancy
K1 0.166 0.834 0.000 1
K2 0.834 0.166 0.000 1
Ho1 0.000 0.000 0.500 1
Pa1 0.333 0.667 0.500 1
Pa2 0.667 0.333 0.500 1
Te1 0.072 0.402 0.710 1
Te2 0.264 0.264 0.291 1
Te3 0.402 0.072 0.710 1
Te4 0.598 0.928 0.290 1
Te5 0.736 0.736 0.709 1
Te6 0.928 0.598 0.290 1
# VASP energy: -5.1188 eV/atom
# Crystal system: monoclinic
# Energy relative to the elements, uncorrected: -103 kJ/mol of atoms

=====

Record 10
# KHoPb (GGA-PBE, optimized geometry)
data_KHoPb
_symmetry_space_group_name_H-M 'P 1'
_symmetry_Int_Tables_number 1
_cell_length_a 5.426
_cell_length_b 5.426
_cell_length_c 8.208
_cell_angle_alpha 90.00
_cell_angle_beta 90.00
_cell_angle_gamma 90.00
loop_
_symmetry_equiv_pos_as_xyz
'x,y,z'
loop_
_atom_site_label
_atom_site_fract_x
_atom_site_fract_y
_atom_site_fract_z
_atom_site_occupancy
K1 0.250 0.250 0.132 1
K2 0.750 0.750 0.868 1
Ho1 0.250 0.750 0.500 1
Ho2 0.750 0.250 0.500 1
Pb1 0.250 0.250 0.689 1
Pb2 0.750 0.750 0.311 1
# Calculated formation energy: -0.256 eV/atom
# VASP energy: -3.3836 eV/atom
# Crystal system: tetragonal